# 1
A relaxed Co3NiPt4 crystal. Source: Alexandria, functional GGA-PBE.

Lattice parameters (Å, degrees): 3.8362 3.8362 14.7333 90.00 90.00 90.00
Space group I4/mmm (No. 139)
Inequivalent atoms, fractional coordinates:
Co  0.0000  0.0000  0.0000 x2
Co  0.0000  0.0000  0.2515 x4
Ni  0.0000  0.0000  0.5000 x2
Pt  0.0000  0.5000  0.1252 x8

Values from the calculation:
ΔE_f in eV/atom: -0.103

# 2
A relaxed ErGa6Pd12 crystal. Source: Alexandria, functional GGA-PBE.

Lattice parameters (Å, degrees): 11.5413 11.5413 8.3361 90.00 90.00 120.00
Space group R-3m (No. 166, hexagonal axes)
Inequivalent atoms, fractional coordinates:
Er  0.0000  0.0000  0.0000 x3
Ga  0.0438  0.5219  0.2518 x18
Pd  0.0000  0.3792  0.5000 x18
Pd  0.0817  0.1635  0.3174 x18

Values from the calculation:
ΔE_f in eV/atom: -0.561

# 3
A relaxed Nd3Ni crystal. Source: Alexandria, functional GGA-PBE.

Lattice parameters (Å, degrees): 3.5998 3.6503 9.2846 90.00 90.00 90.00
Space group Pmm2 (No. 25)
Inequivalent atoms, fractional coordinates:
Nd  0.0000  0.0000  0.0000 x1
Nd  0.0000  0.5000  0.3432 x1
Nd  0.5000  0.5000  0.7089 x1
Ni  0.5000  0.0000  0.4771 x1

Values from the calculation:
ΔE_f in eV/atom: 0.058

# 4
A relaxed SnPAuO2 crystal. Source: Alexandria, functional GGA-PBE.

Lattice parameters (Å, degrees): 3.8776 3.8776 5.9111 90.00 90.00 90.00
Space group P4/mmm (No. 123)
Inequivalent atoms, fractional coordinates:
Sn  0.0000  0.0000  0.0000 x1
P  0.0000  0.0000  0.5000 x1
Au  0.5000  0.5000  0.5000 x1
O  0.0000  0.5000  0.0000 x2

Values from the calculation:
Offset from the most stable computed form in eV/atom: 0.000
Formation energy (no corrections) in meV/atom: -136

# 5
A relaxed TbSi2Pt8 crystal. Source: Alexandria, functional GGA-PBE.

Lattice parameters (Å, degrees): 5.4492 5.4492 7.4080 90.00 90.00 90.00
Space group P4/mmm (No. 123)
Inequivalent atoms, fractional coordinates:
Tb  0.0000  0.0000  0.0000 x1
Si  0.0000  0.5000  0.5000 x2
Pt  0.2533  0.2533  0.2933 x8

Values from the calculation:
Formation energy (no corrections) in meV/atom: -434

# 6
A relaxed Pr8Sn2Pt crystal. Source: Alexandria, functional GGA-PBE.

Lattice parameters (Å, degrees): 20.0465 5.1321 7.0635 90.00 104.83 90.00
Space group C2/m (No. 12)
Inequivalent atoms, fractional coordinates:
Pr  0.0166  0.0000  0.2822 x4
Pr  0.0923  0.5000  0.9697 x4
Pr  0.1486  0.5000  0.4988 x4
Pr  0.2165  0.0000  0.8209 x4
Sn  0.1810  0.0000  0.2533 x4
Pt  0.0000  0.5000  0.5000 x2

Values from the calculation:
ΔE_f in eV/atom: -0.492

# 7
A relaxed DyTm2Ru2 crystal. Source: Alexandria, functional GGA-PBE.

Lattice parameters (Å, degrees): 5.3781 4.3932 10.0953 90.00 98.62 90.00
Space group P2_1/m (No. 11)
Inequivalent atoms, fractional coordinates:
Dy  0.0682  0.2500  0.2779 x2
Tm  0.2566  0.2500  0.9736 x2
Tm  0.3892  0.2500  0.6120 x2
Ru  0.1348  0.7500  0.4531 x2
Ru  0.2535  0.7500  0.1494 x2

Values from the calculation:
ΔE_f in eV/atom: -0.261
Offset from the most stable computed form in eV/atom: 0.101

# 8
A relaxed NaMnIN2 crystal. Source: Alexandria, functional GGA-PBE.

Lattice parameters (Å, degrees): 3.7827 3.7827 5.6881 90.00 90.00 90.00
Space group P4/mmm (No. 123)
Inequivalent atoms, fractional coordinates:
Na  0.0000  0.0000  0.0000 x1
Mn  0.5000  0.5000  0.5000 x1
I  0.5000  0.5000  0.0000 x1
N  0.0000  0.5000  0.5000 x2

Values from the calculation:
Offset from the most stable computed form in eV/atom: 0.000
Formation energy (no corrections) in meV/atom: 432

Sequential total moment output: 16.6, 0.0, 0.0, 0.8, 0.0, 0.0, 0.0, 0.0 Bohr magnetons per cell
Sequential DOS at the Fermi energy output: 19.04, 21.54, 4.40, 3.10, 6.97, 18.98, 7.71, 1.67 states/eV per cell